1.
KAlRu4: optimized geometry, PBE.

a = 5.263 Å, b = 5.263 Å, c = 5.263 Å
α = 60.00°, β = 60.00°, γ = 60.00°
Site moments in Bohr magnetons follow the coordinates.
Positions (direct):
K 0.000 0.000 0.000  0.00
Ru 0.872 0.376 0.376  0.65
Ru 0.376 0.376 0.872  0.65
Ru 0.376 0.376 0.376  0.65
Ru 0.376 0.872 0.376  0.65
Al 0.750 0.750 0.750  -0.03

Properties
E_form: 0.74 eV/atom
V: 17.18 A^3/atom
density of states at the Fermi level: 6.58 states/eV per cell
symmetry: F-43m, No. 216


2.
Mn3InRu: optimized geometry, PBE.

a = 4.758 Å, b = 4.758 Å, c = 4.758 Å
α = 90.00°, β = 90.00°, γ = 90.00°
Site moments in Bohr magnetons follow the coordinates.
Positions (direct):
In 0.500 0.500 0.500  -0.06
Mn 0.500 0.000 0.000  3.87
Mn 0.000 0.000 0.500  3.71
Mn 0.000 0.500 0.000  3.75
Ru 0.000 0.000 0.000  0.11

Properties
E_form: 0.97 eV/atom
V: 21.54 A^3/atom
density of states at the Fermi level: 5.92 states/eV per cell
symmetry: Pm-3m, No. 221


3.
Tb5DyHo3: optimized geometry, PBE.

a = 9.442 Å, b = 9.442 Å, c = 11.532 Å
α = 52.88°, β = 52.88°, γ = 74.40°
Positions (direct):
Tb 0.151 0.654 0.746
Tb 0.182 0.182 0.042
Tb 0.818 0.818 0.958
Tb 0.346 0.849 0.254
Tb 0.743 0.257 0.000
Tb 0.509 0.509 0.766
Tb 0.849 0.346 0.254
Tb 0.491 0.491 0.234
Tb 0.257 0.743 0.000
Tb 0.654 0.151 0.746
Ho 0.660 0.660 0.358
Ho 0.340 0.340 0.642
Ho 0.689 0.689 0.820
Ho 0.000 0.000 0.000
Ho 0.000 0.000 0.500
Ho 0.311 0.311 0.180
Dy 0.152 0.152 0.596
Dy 0.848 0.848 0.404

Properties
E_form: 0.52 eV/atom
V: 35.91 A^3/atom
density of states at the Fermi level: 24.83 states/eV per cell
symmetry: C2/m, No. 12